a:
Mg2TaBr: PBEsol geometry, SCAN.

Results
M_tot = 0.00 μB per atom

Cell lengths 4.837, 4.837, 4.837 Å; angles 60.00, 60.00, 60.00 degrees
Fractional positions:
Mg 0.000 0.000 0.000
Mg 0.250 0.250 0.250
Ta 0.750 0.750 0.750
Br 0.500 0.500 0.500

b:
Mg2TaBr: PBEsol geometry, SCAN.

Results
M_tot = 0.53 μB per atom

Cell lengths 4.990, 4.990, 4.990 Å; angles 60.00, 60.00, 60.00 degrees
Fractional positions:
Mg 0.250 0.250 0.250
Mg 0.750 0.750 0.750
Ta 0.000 0.000 0.000
Br 0.500 0.500 0.500

Quick ranking, most stable first: a, b.

a:
MgTcBr2: PBEsol geometry, SCAN.

Results
M_tot = 0.00 μB per atom

Cell lengths 4.634, 4.634, 3.237 Å; angles 90.00, 90.00, 90.00 degrees
Fractional positions:
Mg 0.000 0.000 0.000
Tc 0.500 0.500 0.000
Br 0.000 0.500 0.500
Br 0.500 0.000 0.500

b:
MgTcBr2: PBEsol geometry, SCAN.

Results
M_tot = 0.16 μB per atom

Cell lengths 3.321, 7.605, 7.605 Å; angles 27.80, 90.00, 90.00 degrees
Fractional positions:
Mg 0.000 0.000 0.000
Tc 0.500 0.578 0.578
Br 0.000 0.699 0.699
Br 0.500 0.404 0.404

Quick ranking, most stable first: b, a.